# LaTaCo4

A relaxed structure of LaTaCo4 (PBE, Alexandria via LeMat-Bulk).

Crystal system = cubic
Energy = -44.58 eV per cell
SG = F-43m

Structure (POSCAR):
```
LaTaCo4
1.0
1.683 -2.655 3.822
-1.906 -4.470 0.938
2.706 -4.063 -0.810
Co La Ta
4 1 1
Direct
0.374 0.374 0.374 Co
0.374 0.374 0.878 Co
0.878 0.374 0.374 Co
0.374 0.878 0.374 Co
0.750 0.750 0.750 La
0.000 0.000 0.000 Ta
```

---

# LaTa2Co

A relaxed structure of LaTa2Co (PBE, Alexandria via LeMat-Bulk).

Crystal system = tetragonal
Energy = -33.56 eV per cell
SG = I4/mmm

Structure (POSCAR):
```
LaTa2Co
1.0
5.784 0.015 0.000
3.073 4.900 0.000
-4.428 -2.457 2.794
Co Ta La
1 2 1
Direct
0.250 0.750 0.500 Co
0.500 0.500 0.000 Ta
0.000 0.000 0.000 Ta
0.750 0.250 0.500 La
```

---

# LaTa2Co

A relaxed structure of LaTa2Co (PBE, Alexandria via LeMat-Bulk).

Crystal system = orthorhombic
Energy = -32.96 eV per cell
SG = Cmmm

Structure (POSCAR):
```
LaTa2Co
1.0
-5.355 0.182 1.985
4.485 -1.934 2.966
0.472 2.671 1.028
Ta Co La
2 1 1
Direct
0.500 0.500 0.000 Ta
0.000 0.000 0.000 Ta
0.500 0.000 0.500 Co
0.000 0.500 0.500 La
```

---

# LaTaCo

A relaxed structure of LaTaCo (PBE, Alexandria via LeMat-Bulk).

Crystal system = tetragonal
Energy = -23.56 eV per cell
SG = I4mm

Structure (POSCAR):
```
LaTaCo
1.0
6.369 -0.013 0.014
5.558 3.110 0.025
0.811 0.199 3.116
Co Ta La
1 1 1
Direct
0.038 0.038 0.962 Co
0.623 0.623 0.377 Ta
0.339 0.339 0.661 La
```